Computed, not measured: crystalline TaMnCo at its relaxed geometry at the GGA-PBE level of DFT.

Properties
E: -8.69 eV/atom
formation energy from the elements: 0.6847 eV/atom
space-group type: No. 216
total moment: 2.5 μB per cell

a = 4.083 Å, b = 4.083 Å, c = 4.083 Å
α = 60.00°, β = 60.00°, γ = 60.00°
Positions (direct):
Ta 0.000 0.000 0.000
Mn 0.750 0.750 0.750
Co 0.250 0.250 0.250

Computed, not measured: crystalline ScFeRu at its relaxed geometry at the GGA-PBE level of DFT.

Properties
E: -8.37 eV/atom
formation energy from the elements: -0.3441 eV/atom
space-group type: No. 74
total moment: 3.7 μB per cell

a = 5.074 Å, b = 5.074 Å, c = 5.074 Å
α = 122.06°, β = 117.89°, γ = 90.08°
Positions (direct):
Sc 0.374 0.124 0.250
Sc 0.626 0.876 0.750
Fe 0.000 0.000 0.500
Fe 0.000 0.500 0.000
Ru 0.000 0.500 0.500
Ru 0.500 0.500 0.000

Q: Which of these has the lowest formation energy from the elements?
A: ScFeRu

Q: Among the records above, which one has the lowest total moment?
A: TaMnCo

Q: Which formula does entry 2 have?
A: ScFeRu

Q: Which of these has the lowest total moment?
A: TaMnCo